[1]
Computed, not measured: a relaxed LiMg3 crystal at the PBE level of DFT.

Computed properties:
ρ: 1518 kg/m3
SG: Pm-3m
Density of states at the Fermi level: 1.12 states/eV per cell
Magnetic moment: 0.00 μB per cell
ΔH_f (0 K): -0.107 eV/f.u.

Unit cell a=4.4375 b=4.4375 c=4.4375 alpha=90.00 beta=90.00 gamma=90.00
Fractional coordinates of all 4 atoms:
1 Li 0.0000 0.0000 0.0000
2 Mg 0.0000 0.5000 0.5000
3 Mg 0.5000 0.0000 0.5000
4 Mg 0.5000 0.5000 0.0000


[2]
Computed, not measured: a relaxed AlPS2O crystal at the PBE level of DFT.

Computed properties:
ρ: 2435 kg/m3
SG: P4/mmm
ΔE to the lowest computed polymorph: 31.30 kJ per mole of atoms
Density of states at the Fermi level: 8.14 states/eV per cell
Magnetic moment: 0.11 μB per cell

Unit cell a=4.4189 b=4.4189 c=4.8229 alpha=90.00 beta=90.00 gamma=90.00
Fractional coordinates of all 5 atoms:
1 Al 0.0000 0.0000 0.0000
2 P 0.0000 0.0000 0.5000
3 S 0.0000 0.5000 0.0000
4 S 0.5000 0.0000 0.0000
5 O 0.5000 0.5000 0.5000


[3]
Computed, not measured: a relaxed Sc11Cd9Ir4 crystal at the PBE level of DFT.

Computed properties:
ρ: 7589 kg/m3
SG: Cmmm
Density of states at the Fermi level: 18.30 states/eV per cell
Magnetic moment: 0.00 μB per cell
ΔH_f (0 K): -12.368 eV/f.u.

Unit cell a=12.5371 b=12.5371 c=3.4267 alpha=90.00 beta=90.00 gamma=112.45
Fractional coordinates of all 24 atoms:
1 Sc 0.0000 0.0000 0.0000
2 Sc 0.0868 0.4188 0.0000
3 Sc 0.1599 0.8401 0.0000
4 Sc 0.2987 0.2987 0.0000
5 Sc 0.3625 0.6375 0.0000
6 Sc 0.4188 0.0868 0.0000
7 Sc 0.5812 0.9132 0.0000
8 Sc 0.6375 0.3625 0.0000
9 Sc 0.7013 0.7013 0.0000
10 Sc 0.8401 0.1599 0.0000
11 Sc 0.9132 0.5812 0.0000
12 Cd 0.0647 0.2132 0.5000
13 Cd 0.1443 0.6349 0.5000
14 Cd 0.2132 0.0647 0.5000
15 Cd 0.3651 0.8557 0.5000
16 Cd 0.5000 0.5000 0.5000
17 Cd 0.6349 0.1443 0.5000
18 Cd 0.7867 0.9353 0.5000
19 Cd 0.8557 0.3651 0.5000
20 Cd 0.9353 0.7867 0.5000
21 Ir 0.2578 0.4541 0.5000
22 Ir 0.4541 0.2578 0.5000
23 Ir 0.5459 0.7422 0.5000
24 Ir 0.7422 0.5459 0.5000


[4]
Computed, not measured: a relaxed NaTbMg2 crystal at the PBE level of DFT.

Computed properties:
ρ: 3395 kg/m3
SG: P4/mmm
ΔE to the lowest computed polymorph: 0.00 kJ per mole of atoms
Density of states at the Fermi level: 3.64 states/eV per cell
Magnetic moment: 0.50 μB per cell
ΔH_f (0 K): 0.209 eV/f.u.

Unit cell a=3.7048 b=3.7048 c=8.2144 alpha=90.00 beta=90.00 gamma=90.00
Fractional coordinates of all 4 atoms:
1 Na 0.0000 0.0000 0.0000
2 Tb 0.0000 0.0000 0.5000
3 Mg 0.5000 0.5000 0.2549
4 Mg 0.5000 0.5000 0.7451